## MnSiO3 (PBE+U)

Data for a relaxed MnSiO3 crystal.

Computed properties:
Final energy, eV/atom: -7.853
Space group: No. 88

abc: 10.2724 10.2724 10.2724
angles: 109.12 109.12 110.17
Closest atoms and distances in Å follow each position.
Atoms (fractional coordinates):
Mn: 0.0000 0.0000 0.0000  6 O 2.16-2.20
Mn: 0.1261 0.8761 0.2500  6 O 2.24-2.34
Mn: 0.1329 0.7676 0.8821  6 O 2.18-2.42
Mn: 0.2493 0.3671 0.1348  6 O 2.18-2.42
Mn: 0.2676 0.8855 0.6348  6 O 2.18-2.42
Mn: 0.3761 0.6261 0.7500  6 O 2.24-2.34
Mn: 0.3855 0.2507 0.6179  6 O 2.18-2.42
Mn: 0.5000 0.0000 0.0000  6 O 2.16-2.20
Mn: 0.5000 0.0000 0.5000  6 O 2.16-2.20
Mn: 0.5000 0.5000 0.5000  6 O 2.16-2.20
Mn: 0.6145 0.7493 0.3821  6 O 2.18-2.42
Mn: 0.6239 0.3739 0.2500  6 O 2.24-2.34
Mn: 0.7324 0.1145 0.3652  6 O 2.18-2.42
Mn: 0.7507 0.6329 0.8652  6 O 2.18-2.42
Mn: 0.8671 0.2324 0.1179  6 O 2.18-2.42
Mn: 0.8739 0.1239 0.7500  6 O 2.24-2.34
Si: 0.0000 0.0000 0.5000  6 O 1.77-1.85
Si: 0.0000 0.5000 0.0000  6 O 1.77-1.85
Si: 0.0000 0.5000 0.5000  6 O 1.77-1.85
Si: 0.1137 0.2545 0.3878  4 O 1.63-1.71
Si: 0.1250 0.3750 0.7500  4 O 1.67
Si: 0.2259 0.6137 0.3592  4 O 1.63-1.71
Si: 0.2455 0.1333 0.8592  4 O 1.63-1.71
Si: 0.3667 0.7259 0.1122  4 O 1.63-1.71
Si: 0.3750 0.1250 0.2500  4 O 1.65
Si: 0.5000 0.5000 0.0000  6 O 1.77-1.85
Si: 0.6250 0.8750 0.7500  4 O 1.65
Si: 0.6333 0.2741 0.8878  4 O 1.63-1.71
Si: 0.7545 0.8667 0.1408  4 O 1.63-1.71
Si: 0.7741 0.3863 0.6408  4 O 1.63-1.71
Si: 0.8750 0.6250 0.2500  4 O 1.67
Si: 0.8863 0.7455 0.6122  4 O 1.63-1.71
O: 0.0010 0.1823 0.6131  2 Si 1.67-1.85
O: 0.0298 0.6970 0.6132  2 Si 1.71-1.83
O: 0.0692 0.3880 0.8869  2 Si 1.67-1.85
O: 0.0834 0.4702 0.1672  2 Si 1.71-1.83
O: 0.0858 0.2163 0.2106  1 Si 1.63
O: 0.0893 0.0956 0.4118  2 Si 1.68-1.77
O: 0.1111 0.1436 0.9081  1 Si 1.64
O: 0.1120 0.4990 0.6812  2 Si 1.67-1.85
O: 0.1775 0.5893 0.4937  2 Si 1.68-1.77
O: 0.1838 0.6775 0.0882  2 Si 1.68-1.77
O: 0.1970 0.0838 0.6672  2 Si 1.71-1.83
O: 0.2005 0.9690 0.1015  1 Si 1.65
O: 0.2645 0.7970 0.4081  1 Si 1.64
O: 0.2837 0.9943 0.8695  1 Si 1.63
O: 0.2970 0.3889 0.5326  1 Si 1.64
O: 0.3177 0.4308 0.8188  2 Si 1.67-1.85
O: 0.3564 0.7645 0.9674  1 Si 1.64
O: 0.3676 0.0990 0.3985  1 Si 1.65
O: 0.3752 0.5858 0.3695  1 Si 1.63
O: 0.4010 0.2995 0.2686  1 Si 1.65
O: 0.4044 0.3162 0.9937  2 Si 1.68-1.77
O: 0.4162 0.5834 0.1132  2 Si 1.71-1.83
O: 0.4690 0.8676 0.7686  1 Si 1.65
O: 0.4943 0.1248 0.7106  1 Si 1.63
O: 0.5057 0.8752 0.2894  1 Si 1.63
O: 0.5310 0.1324 0.2314  1 Si 1.65
O: 0.5838 0.4166 0.8868  2 Si 1.71-1.83
O: 0.5956 0.6838 0.0063  2 Si 1.68-1.77
O: 0.5990 0.7005 0.7314  1 Si 1.65
O: 0.6248 0.4142 0.6305  1 Si 1.63
O: 0.6324 0.9010 0.6015  1 Si 1.65
O: 0.6436 0.2355 0.0326  1 Si 1.64
O: 0.6823 0.5692 0.1812  2 Si 1.67-1.85
O: 0.7030 0.6111 0.4674  1 Si 1.64
O: 0.7163 0.0057 0.1305  1 Si 1.63
O: 0.7355 0.2030 0.5919  1 Si 1.64
O: 0.7995 0.0310 0.8985  1 Si 1.65
O: 0.8030 0.9162 0.3328  2 Si 1.71-1.83
O: 0.8162 0.3225 0.9118  2 Si 1.68-1.77
O: 0.8225 0.4107 0.5063  2 Si 1.68-1.77
O: 0.8880 0.5010 0.3188  2 Si 1.67-1.85
O: 0.8889 0.8564 0.0919  1 Si 1.64
O: 0.9107 0.9044 0.5882  2 Si 1.68-1.77
O: 0.9142 0.7837 0.7894  1 Si 1.63
O: 0.9166 0.5298 0.8328  2 Si 1.71-1.83
O: 0.9308 0.6120 0.1131  2 Si 1.67-1.85
O: 0.9702 0.3030 0.3868  2 Si 1.71-1.83
O: 0.9990 0.8177 0.3869  2 Si 1.67-1.85